# 1
Compound: Li5Ce2Au3N2
Source: Alexandria
Functional: PBE
Structure: relaxed

Calculated values
- Formation energy from raw total energies: -0.625 eV/atom
- Density of states at the Fermi level: 0.668 states/eV/atom
- Space-group type: I4/mmm (139)
- Crystal system: tetragonal
- V: 209.8 Å³ per cell

Cell: 11.704 11.704 11.704 Å, 158.79 158.79 30.18°
Fractional coordinates of all 12 atoms:
Li: 0.000 0.000 0.000
Li: 0.081 0.581 0.500
Li: 0.419 0.919 0.500
Li: 0.581 0.081 0.500
Li: 0.919 0.419 0.500
Ce: 0.183 0.183 0.000
Ce: 0.817 0.817 0.000
Au: 0.321 0.321 0.000
Au: 0.500 0.500 0.000
Au: 0.679 0.679 0.000
N: 0.093 0.093 0.000
N: 0.907 0.907 0.000

=====

# 2
Compound: LiCeNdAu
Source: Alexandria
Functional: PBE
Structure: relaxed

Calculated values
- Density of states at the Fermi level: 2.587 states/eV/atom
- Space-group type: F-43m (216)
- Crystal system: cubic
- V: 408.8 Å³ per cell
- ΔE_f: -0.23 eV per atom

Cell: 7.421 7.421 7.421 Å, 90.00 90.00 90.00°
Fractional coordinates of all 16 atoms:
Li: 0.000 0.000 0.000
Li: 0.000 0.500 0.500
Li: 0.500 0.000 0.500
Li: 0.500 0.500 0.000
Ce: 0.250 0.250 0.750
Ce: 0.250 0.750 0.250
Ce: 0.750 0.250 0.250
Ce: 0.750 0.750 0.750
Nd: 0.250 0.250 0.250
Nd: 0.250 0.750 0.750
Nd: 0.750 0.250 0.750
Nd: 0.750 0.750 0.250
Au: 0.000 0.000 0.500
Au: 0.000 0.500 0.000
Au: 0.500 0.000 0.000
Au: 0.500 0.500 0.500

=====

# 3
Compound: Li2CeAuO4
Source: Alexandria
Functional: PBE
Structure: relaxed

Calculated values
- Formation energy from raw total energies: -1.751 eV/atom
- Density of states at the Fermi level: 0.477 states/eV/atom
- Space-group type: I-42m (121)
- Crystal system: tetragonal
- V: 201.9 Å³ per cell

Cell: 5.477 5.477 6.731 Å, 90.00 90.00 90.00°
Fractional coordinates of all 16 atoms:
Li: 0.000 0.500 0.250
Li: 0.000 0.500 0.750
Li: 0.500 0.000 0.250
Li: 0.500 0.000 0.750
Ce: 0.000 0.000 0.000
Ce: 0.500 0.500 0.500
Au: 0.000 0.000 0.500
Au: 0.500 0.500 0.000
O: 0.246 0.246 0.155
O: 0.246 0.754 0.845
O: 0.254 0.254 0.655
O: 0.254 0.746 0.345
O: 0.746 0.254 0.345
O: 0.746 0.746 0.655
O: 0.754 0.246 0.845
O: 0.754 0.754 0.155